Entry 1:
The following is a GGA-PBE calculation of a relaxed Pr2SmGaO crystal, from Alexandria.

Output
DFT total energy = -29.0 eV per formula unit
uncorrected formation energy = -1.357 eV per atom
spin magnetization = 0.00 μB/f.u.

Lattice parameters (Å, degrees): 4.825 4.967 4.967 90.00 90.00 90.00
Atoms (fractional coordinates):
Pr  0.000  0.000  0.500
Pr  0.000  0.500  0.000
Sm  0.500  0.000  0.000
Ga  0.500  0.500  0.500
O  0.000  0.000  0.000

Entry 2:
The following is a GGA-PBE calculation of a relaxed DyEr2CdPd4 crystal, from Alexandria.

Output
DFT total energy = -42.0 eV per formula unit
formation enthalpy at 0 K = -0.828 eV/atom
spin magnetization = 0.00 μB/f.u.

Lattice parameters (Å, degrees): 4.857 4.857 8.412 73.22 73.22 60.00
Atoms (fractional coordinates):
Dy  0.000  0.000  0.000
Er  0.756  0.756  0.732
Er  0.244  0.244  0.268
Cd  0.500  0.500  0.500
Pd  0.373  0.373  0.881
Pd  0.879  0.879  0.364
Pd  0.121  0.121  0.636
Pd  0.627  0.627  0.119

Entry 3:
The following is a GGA-PBE calculation of a relaxed NaPtSe2O8 crystal, from Alexandria.

Output
DFT total energy = -60.9 eV per formula unit
uncorrected formation energy = -0.572 eV per atom
spin magnetization = 0.09 μB/f.u.

Lattice parameters (Å, degrees): 5.533 5.533 6.963 90.00 90.00 120.00
Atoms (fractional coordinates):
Na  0.000  0.000  0.500
Pt  0.000  0.000  0.000
Se  0.333  0.667  0.734
Se  0.667  0.333  0.266
O  0.160  0.319  0.798
O  0.160  0.840  0.798
O  0.681  0.840  0.798
O  0.319  0.160  0.202
O  0.667  0.333  0.501
O  0.333  0.667  0.499
O  0.840  0.681  0.202
O  0.840  0.160  0.202

- What is the spin magnetization in the third record?
  0.09 μB/f.u.